1.
This record from Alexandria via LeMat-Bulk describes an optimized crystal structure of TbNbN2. The functional is GGA-PBE.

## Properties
- E: -9.11 eV/atom
- ΔE_f (raw): -1.2728 eV per atom
- Mass density: 9.15 g cm⁻³
- M_tot: 0.000 μB/atom

Lattice parameters (Å, degrees): 3.1997 3.1997 17.1880 90.00 90.00 120.00
Space group R3m (No. 160, hexagonal axes)
Unique sites:
Tb 0.0000 0.0000 0.0000 x3
Nb 0.0000 0.0000 0.1752 x3
N 0.0000 0.0000 0.4297 x3
N 0.0000 0.0000 0.5828 x3



2.
This record from Alexandria via LeMat-Bulk describes an optimized crystal structure of TbNbN2. The functional is GGA-PBE.

## Properties
- E: -9.22 eV/atom
- ΔE_f (raw): -1.3871 eV per atom
- Mass density: 9.00 g cm⁻³
- M_tot: 0.000 μB/atom

Lattice parameters (Å, degrees): 5.706 3.294 10.986 90.00 90.00 90.00
Space group Pnma (No. 62)
Unique sites:
Tb 0.088 0.250 0.139 x4
Nb 0.086 0.750 0.392 x4
N 0.159 0.250 0.755 x4
N 0.246 0.250 0.493 x4



3.
This record from Alexandria via LeMat-Bulk describes an optimized crystal structure of Tb3NbN4. The functional is GGA-PBE.

## Properties
- E: -8.64 eV/atom
- ΔE_f (raw): -1.4773 eV per atom
- Mass density: 9.47 g cm⁻³
- M_tot: 0.000 μB/atom

Lattice parameters (Å, degrees): 6.801 9.554 3.376 90.00 90.00 90.00
Space group Cmmm (No. 65)
Unique sites:
Tb 0.000 0.000 0.000 x2
Tb 0.250 0.250 0.500 x4
Nb 0.000 0.500 0.000 x2
N 0.000 0.263 0.000 x4
N 0.232 0.500 0.500 x4



4.
This record from Alexandria via LeMat-Bulk describes an optimized crystal structure of TbNb2N4. The functional is GGA-PBE.

## Properties
- E: -9.47 eV/atom
- ΔE_f (raw): -1.1728 eV per atom
- Mass density: 7.89 g cm⁻³
- M_tot: 0.000 μB/atom

Lattice parameters (Å, degrees): 3.148 10.283 10.417 90.00 90.00 90.00
Space group Cmcm (No. 63)
Unique sites:
Tb 0.000 0.116 0.250 x4
Nb 0.000 0.371 0.068 x8
N 0.000 0.000 0.000 x4
N 0.000 0.269 0.614 x8
N 0.000 0.443 0.250 x4



5.
This record from Alexandria via LeMat-Bulk describes an optimized crystal structure of TbNbN3. The functional is GGA-PBE.

## Properties
- E: -8.82 eV/atom
- ΔE_f (raw): -0.8833 eV per atom
- Mass density: 5.90 g cm⁻³
- M_tot: 0.187 μB/atom

Lattice parameters (Å, degrees): 5.666 3.755 8.256 90.00 109.60 90.00
Space group P2_1/m (No. 11)
Unique sites:
Tb 0.044 0.250 0.321 x2
Nb 0.484 0.250 0.832 x2
N 0.189 0.250 0.617 x2
N 0.236 0.750 0.242 x2
N 0.370 0.750 0.885 x2



6.
This record from Alexandria via LeMat-Bulk describes an optimized crystal structure of Tb2NbN4. The functional is GGA-PBE.

## Properties
- E: -8.47 eV/atom
- ΔE_f (raw): -0.9508 eV per atom
- Mass density: 6.84 g cm⁻³
- M_tot: 0.000 μB/atom

Lattice parameters (Å, degrees): 5.982 6.008 6.591 90.00 106.99 90.00
Space group P2_1/m (No. 11)
Unique sites:
Tb 0.156 0.250 0.025 x2
Tb 0.221 0.250 0.548 x2
Nb 0.299 0.750 0.818 x2
N 0.056 0.512 0.753 x4
N 0.479 0.250 0.342 x2
N 0.499 0.250 0.892 x2



7.
This record from Alexandria via LeMat-Bulk describes an optimized crystal structure of Tb2NbTcN5. The functional is GGA-PBE.

## Properties
- E: -8.91 eV/atom
- ΔE_f (raw): -0.9898 eV per atom
- Mass density: 8.60 g cm⁻³
- M_tot: 0.000 μB/atom

Lattice parameters (Å, degrees): 3.278 13.302 10.256 90.00 90.00 90.00
Space group Cmc2_1 (No. 36)
Unique sites:
Tb 0.000 0.111 0.000 x4
Tb 0.000 0.144 0.594 x4
Nb 0.000 0.221 0.311 x4
Tc 0.000 0.476 0.763 x4
N 0.000 0.046 0.351 x4
N 0.000 0.283 0.951 x4
N 0.000 0.319 0.673 x4
N 0.000 0.367 0.300 x4
N 0.000 0.490 0.081 x4



8.
This record from Alexandria via LeMat-Bulk describes an optimized crystal structure of Tb2ThNbN4. The functional is GGA-PBE.

## Properties
- E: -8.90 eV/atom
- ΔE_f (raw): -1.3948 eV per atom
- Mass density: 10.04 g cm⁻³
- M_tot: 0.000 μB/atom

Lattice parameters (Å, degrees): 5.964 3.436 5.966 90.00 109.05 90.00
Space group P2/m (No. 10)
Unique sites:
Tb 0.000 0.000 0.000 x1
Tb 0.000 0.500 0.500 x1
Th 0.500 0.000 0.500 x1
Nb 0.500 0.500 0.000 x1
N 0.256 0.500 0.235 x2
N 0.267 0.000 0.770 x2



9.
This record from Alexandria via LeMat-Bulk describes an optimized crystal structure of TbTm2NbN4. The functional is GGA-PBE.

## Properties
- E: -8.68 eV/atom
- ΔE_f (raw): -1.5571 eV per atom
- Mass density: 10.17 g cm⁻³
- M_tot: 0.000 μB/atom

Lattice parameters (Å, degrees): 5.783 3.331 5.793 90.00 109.12 90.00
Space group P2/m (No. 10)
Unique sites:
Tb 0.000 0.000 0.000 x1
Tm 0.500 0.000 0.500 x1
Tm 0.500 0.500 0.000 x1
Nb 0.000 0.500 0.500 x1
N 0.241 0.000 0.736 x2
N 0.246 0.500 0.264 x2



10.
This record from Alexandria via LeMat-Bulk describes an optimized crystal structure of TbTmNbN3. The functional is GGA-PBE.

## Properties
- E: -8.81 eV/atom
- ΔE_f (raw): -1.4489 eV per atom
- Mass density: 9.64 g cm⁻³
- M_tot: 0.000 μB/atom

Lattice parameters (Å, degrees): 5.740 3.324 8.576 90.00 103.05 90.00
Space group P2_1/m (No. 11)
Unique sites:
Tb 0.153 0.250 0.188 x2
Tm 0.270 0.750 0.547 x2
Nb 0.365 0.250 0.865 x2
N 0.059 0.250 0.677 x2
N 0.248 0.750 0.989 x2
N 0.455 0.750 0.333 x2



11.
This record from Alexandria via LeMat-Bulk describes an optimized crystal structure of Tb2UNbN4. The functional is GGA-PBE.

## Properties
- E: -9.43 eV/atom
- ΔE_f (raw): -1.4401 eV per atom
- Mass density: 10.79 g cm⁻³
- M_tot: 0.028 μB/atom

Lattice parameters (Å, degrees): 5.749 3.392 5.883 90.00 109.00 90.00
Space group P2/m (No. 10)
Unique sites:
Tb 0.000 0.000 0.000 x1
Tb 0.500 0.500 0.000 x1
U 0.000 0.500 0.500 x1
Nb 0.500 0.000 0.500 x1
N 0.244 0.000 0.730 x2
N 0.256 0.500 0.275 x2



12.
This record from Alexandria via LeMat-Bulk describes an optimized crystal structure of Tb2NbVN5. The functional is GGA-PBE.

## Properties
- E: -9.04 eV/atom
- ΔE_f (raw): -1.2564 eV per atom
- Mass density: 8.07 g cm⁻³
- M_tot: 0.049 μB/atom

Lattice parameters (Å, degrees): 3.274 13.201 10.124 90.00 90.00 90.00
Space group Cmc2_1 (No. 36)
Unique sites:
Tb 0.000 0.110 0.000 x4
Tb 0.000 0.142 0.601 x4
Nb 0.000 0.218 0.316 x4
V 0.000 0.476 0.766 x4
N 0.000 0.046 0.351 x4
N 0.000 0.285 0.958 x4
N 0.000 0.317 0.682 x4
N 0.000 0.369 0.308 x4
N 0.000 0.493 0.094 x4



13.
This record from Alexandria via LeMat-Bulk describes an optimized crystal structure of TbY2NbN4. The functional is GGA-PBE.

## Properties
- E: -9.10 eV/atom
- ΔE_f (raw): -1.4844 eV per atom
- Mass density: 7.41 g cm⁻³
- M_tot: 0.000 μB/atom

Lattice parameters (Å, degrees): 5.847 3.368 5.852 90.00 109.11 90.00
Space group P2/m (No. 10)
Unique sites:
Tb 0.000 0.000 0.000 x1
Y 0.500 0.000 0.500 x1
Y 0.500 0.500 0.000 x1
Nb 0.000 0.500 0.500 x1
N 0.233 0.000 0.733 x2
N 0.238 0.500 0.263 x2



14.
This record from Alexandria via LeMat-Bulk describes an optimized crystal structure of Tb2ZrNbN4. The functional is GGA-PBE.

## Properties
- E: -9.16 eV/atom
- ΔE_f (raw): -1.5116 eV per atom
- Mass density: 8.89 g cm⁻³
- M_tot: 0.000 μB/atom

Lattice parameters (Å, degrees): 5.739 3.306 5.817 90.00 109.23 90.00
Space group P2/m (No. 10)
Unique sites:
Tb 0.000 0.000 0.000 x1
Tb 0.500 0.500 0.000 x1
Zr 0.000 0.500 0.500 x1
Nb 0.500 0.000 0.500 x1
N 0.245 0.000 0.730 x2
N 0.260 0.500 0.272 x2



15.
This record from Alexandria via LeMat-Bulk describes an optimized crystal structure of Nb2TcN. The functional is GGA-PBE.

## Properties
- E: -9.78 eV/atom
- ΔE_f (raw): -0.0710 eV per atom
- Energy above the most stable polymorph in this dataset: 0.00 eV per formula unit
- Mass density: 8.39 g cm⁻³
- M_tot: 0.000 μB/atom

Lattice parameters (Å, degrees): 2.9898 2.9898 22.8294 90.00 90.00 120.00
Space group R-3m (No. 166, hexagonal axes)
Unique sites:
Nb 0.0000 0.0000 0.1074 x6
Tc 0.0000 0.0000 0.0000 x3
N 0.0000 0.0000 0.5000 x3



16.
This record from Alexandria via LeMat-Bulk describes an optimized crystal structure of Nb2TcN. The functional is GGA-PBE.

## Properties
- E: -9.02 eV/atom
- ΔE_f (raw): 0.6852 eV per atom
- Energy above the most stable polymorph in this dataset: 3.02 eV per formula unit
- Mass density: 8.55 g cm⁻³
- M_tot: 0.000 μB/atom

Lattice parameters (Å, degrees): 6.140 6.140 6.140 90.00 90.00 90.00
Space group Fm-3m (No. 225)
Unique sites:
Nb 0.250 0.250 0.250 x8
Tc 0.000 0.000 0.000 x4
N 0.000 0.000 0.500 x4



17.
This record from Alexandria via LeMat-Bulk describes an optimized crystal structure of NbTcN3. The functional is GGA-PBE.

## Properties
- E: -8.38 eV/atom
- ΔE_f (raw): 0.7068 eV per atom
- Mass density: 6.87 g cm⁻³
- M_tot: 0.002 μB/atom

Lattice parameters (Å, degrees): 3.833 3.833 3.833 90.00 90.00 90.00
Space group Pm-3m (No. 221)
Unique sites:
Nb 0.000 0.000 0.000 x1
Tc 0.500 0.500 0.500 x1
N 0.000 0.500 0.500 x3



18.
This record from Alexandria via LeMat-Bulk describes an optimized crystal structure of Nb3TcN. The functional is GGA-PBE.

## Properties
- E: -7.71 eV/atom
- ΔE_f (raw): 2.0690 eV per atom
- Energy above the most stable polymorph in this dataset: 12.12 eV per formula unit
- Mass density: 5.96 g cm⁻³
- M_tot: 0.000 μB/atom

Lattice parameters (Å, degrees): 4.775 4.775 4.775 90.00 90.00 90.00
Space group Pm-3m (No. 221)
Unique sites:
Nb 0.000 0.000 0.500 x3
Tc 0.000 0.000 0.000 x1
N 0.500 0.500 0.500 x1



19.
This record from Alexandria via LeMat-Bulk describes an optimized crystal structure of NbTc3N. The functional is GGA-PBE.

## Properties
- E: -10.06 eV/atom
- ΔE_f (raw): -0.1620 eV per atom
- Energy above the most stable polymorph in this dataset: 0.00 eV per formula unit
- Mass density: 9.76 g cm⁻³
- M_tot: 0.000 μB/atom

Lattice parameters (Å, degrees): 4.085 4.085 4.085 90.00 90.00 90.00
Space group Pm-3m (No. 221)
Unique sites:
Nb 0.000 0.000 0.000 x1
Tc 0.000 0.500 0.500 x3
N 0.500 0.500 0.500 x1



20.
This record from Alexandria via LeMat-Bulk describes an optimized crystal structure of NbTc3N. The functional is GGA-PBE.

## Properties
- E: -6.92 eV/atom
- ΔE_f (raw): 2.9793 eV per atom
- Energy above the most stable polymorph in this dataset: 15.71 eV per formula unit
- Mass density: 6.22 g cm⁻³
- M_tot: 0.241 μB/atom

Lattice parameters (Å, degrees): 4.748 4.748 4.748 90.00 90.00 90.00
Space group Pm-3m (No. 221)
Unique sites:
Nb 0.000 0.000 0.000 x1
Tc 0.000 0.000 0.500 x3
N 0.500 0.500 0.500 x1